MgGa2NiIr: optimized geometry, PBE-GGA.

Structure (CIF):
```
data_MgGa2NiIr
_symmetry_space_group_name_H-M 'P 4/m m m'
_symmetry_Int_Tables_number 123
_symmetry_space_group_name_Hall '-P 4 2'
_cell_length_a 4.386
_cell_length_b 4.386
_cell_length_c 4.555
_cell_angle_alpha 90.00
_cell_angle_beta 90.00
_cell_angle_gamma 90.00
loop_
_atom_site_label
_atom_site_fract_x
_atom_site_fract_y
_atom_site_fract_z
_atom_site_occupancy
Mg1 0.000 0.000 0.000 1
Ga1 0.000 0.500 0.500 1
Ni1 0.000 0.000 0.500 1
Ir1 0.500 0.500 0.000 1
```

Computed properties:
Density of states at the Fermi level = 2.833 states/eV per cell
DFT formation energy = 336 meV per atom
Electronic total energy = -4.12 eV/atom



IrPdIN2: optimized geometry, PBE-GGA.

Structure (CIF):
```
data_IrPdIN2
_symmetry_space_group_name_H-M 'P 4/m m m'
_symmetry_Int_Tables_number 123
_symmetry_space_group_name_Hall '-P 4 2'
_cell_length_a 3.765
_cell_length_b 3.765
_cell_length_c 8.825
_cell_angle_alpha 90.00
_cell_angle_beta 90.00
_cell_angle_gamma 90.00
loop_
_atom_site_label
_atom_site_fract_x
_atom_site_fract_y
_atom_site_fract_z
_atom_site_occupancy
Ir1 0.000 0.000 0.000 1
Pd1 0.500 0.500 0.500 1
I1 0.000 0.000 0.500 1
N1 0.000 0.500 0.000 1
```

Computed properties:
Energy relative to the elements, uncorrected = 822 meV/atom
Density of states at the Fermi level = 4.227 states/eV per cell
Electronic total energy = -5.63 eV/atom



Re2HgSe: optimized geometry, PBE-GGA.

Structure (CIF):
```
data_Re2HgSe
_symmetry_space_group_name_H-M 'P 4/m m m'
_symmetry_Int_Tables_number 123
_symmetry_space_group_name_Hall '-P 4 2'
_cell_length_a 4.013
_cell_length_b 4.013
_cell_length_c 4.304
_cell_angle_alpha 90.00
_cell_angle_beta 90.00
_cell_angle_gamma 90.00
loop_
_atom_site_label
_atom_site_fract_x
_atom_site_fract_y
_atom_site_fract_z
_atom_site_occupancy
Re1 0.000 0.500 0.000 1
Hg1 0.000 0.000 0.500 1
Se1 0.500 0.500 0.500 1
```

Computed properties:
Energy relative to the elements, uncorrected = 1325 meV/atom
Density of states at the Fermi level = 4.797 states/eV per cell
Electronic total energy = -5.85 eV/atom



DyHo2ErSb4: optimized geometry, PBE-GGA.

Structure (CIF):
```
data_DyHo2ErSb4
_symmetry_space_group_name_H-M 'P 1 2/m 1'
_symmetry_Int_Tables_number 10
_symmetry_space_group_name_Hall '-P 2y'
_cell_length_a 7.564
_cell_length_b 4.370
_cell_length_c 7.564
_cell_angle_alpha 90.00
_cell_angle_beta 109.47
_cell_angle_gamma 90.00
loop_
_atom_site_label
_atom_site_fract_x
_atom_site_fract_y
_atom_site_fract_z
_atom_site_occupancy
Dy1 0.000 0.000 0.000 1
Ho1 0.000 0.500 0.500 1
Ho2 0.500 0.000 0.500 1
Er1 0.500 0.500 0.000 1
Sb1 0.251 0.000 0.750 1
Sb2 0.251 0.500 0.250 1
```

Computed properties:
Energy relative to the elements, uncorrected = -1113 meV/atom
Density of states at the Fermi level = 1.114 states/eV per cell
Electronic total energy = -5.46 eV/atom



ZnFe3Mo: optimized geometry, PBE-GGA.

Structure (CIF):
```
data_ZnFe3Mo
_symmetry_space_group_name_H-M 'P m -3 m'
_symmetry_Int_Tables_number 221
_symmetry_space_group_name_Hall '-P 4 2 3'
_cell_length_a 4.454
_cell_length_b 4.454
_cell_length_c 4.454
_cell_angle_alpha 90.00
_cell_angle_beta 90.00
_cell_angle_gamma 90.00
loop_
_atom_site_label
_atom_site_fract_x
_atom_site_fract_y
_atom_site_fract_z
_atom_site_occupancy
Zn1 0.000 0.000 0.000 1
Fe1 0.000 0.500 0.500 1
Mo1 0.500 0.500 0.500 1
```

Computed properties:
Density of states at the Fermi level = 6.242 states/eV per cell
DFT formation energy = 1469 meV per atom
Electronic total energy = -6.03 eV/atom



TlZn2CoGe: optimized geometry, PBE-GGA.

Structure (CIF):
```
data_TlZn2CoGe
_symmetry_space_group_name_H-M 'P 4/m m m'
_symmetry_Int_Tables_number 123
_symmetry_space_group_name_Hall '-P 4 2'
_cell_length_a 4.766
_cell_length_b 4.766
_cell_length_c 4.433
_cell_angle_alpha 90.00
_cell_angle_beta 90.00
_cell_angle_gamma 90.00
loop_
_atom_site_label
_atom_site_fract_x
_atom_site_fract_y
_atom_site_fract_z
_atom_site_occupancy
Tl1 0.000 0.000 0.000 1
Zn1 0.000 0.500 0.500 1
Co1 0.500 0.500 0.500 1
Ge1 0.500 0.500 0.000 1
```

Computed properties:
Density of states at the Fermi level = 1.506 states/eV per cell
DFT formation energy = 87 meV per atom
Electronic total energy = -3.24 eV/atom